Al2Co2Ge | GGA-PBE | optimized geometry

Lattice parameters (Å, degrees): 6.092 6.092 3.610 90.00 90.00 90.00
Fractional coordinates of all 10 atoms:
Al  0.153  0.347  0.000
Al  0.347  0.847  0.000
Al  0.653  0.153  0.000
Al  0.847  0.653  0.000
Co  0.150  0.650  0.500
Co  0.350  0.150  0.500
Co  0.650  0.850  0.500
Co  0.850  0.350  0.500
Ge  0.000  0.000  0.500
Ge  0.500  0.500  0.500

Computed properties:
- energy relative to the lowest polymorph listed for this composition (eV/atom) = 0.144
- magnetization (μB per formula unit) = 0.00
- total DFT energy (no corrections) (eV/atom) = -5.535
- crystal system = tetragonal

Al2Co2Ge | GGA-PBE | optimized geometry

Lattice parameters (Å, degrees): 6.680 6.680 6.680 149.85 149.85 43.16
Fractional coordinates of all 5 atoms:
Al  0.109  0.109  0.000
Al  0.891  0.891  0.000
Co  0.250  0.750  0.500
Co  0.750  0.250  0.500
Ge  0.500  0.500  0.000

Computed properties:
- energy relative to the lowest polymorph listed for this composition (eV/atom) = 0.578
- magnetization (μB per formula unit) = 2.50
- total DFT energy (no corrections) (eV/atom) = -5.101
- crystal system = tetragonal

AlCoGe3 | GGA-PBE | optimized geometry

Lattice parameters (Å, degrees): 4.573 4.573 4.573 90.00 90.00 90.00
Fractional coordinates of all 5 atoms:
Al  0.000  0.000  0.000
Co  0.500  0.500  0.500
Ge  0.000  0.500  0.500
Ge  0.500  0.000  0.500
Ge  0.500  0.500  0.000

Computed properties:
- energy relative to the lowest polymorph listed for this composition (eV/atom) = 0.000
- magnetization (μB per formula unit) = 0.00
- total DFT energy (no corrections) (eV/atom) = -4.673
- crystal system = cubic

Hf2Al2Co5Ge | GGA-PBE | optimized geometry

Lattice parameters (Å, degrees): 9.100 9.100 3.313 90.00 90.00 90.00
Fractional coordinates of all 20 atoms:
Hf  0.175  0.325  0.000
Hf  0.325  0.825  0.000
Hf  0.675  0.175  0.000
Hf  0.825  0.675  0.000
Al  0.122  0.622  0.000
Al  0.378  0.122  0.000
Al  0.622  0.878  0.000
Al  0.878  0.378  0.000
Co  0.000  0.500  0.500
Co  0.063  0.797  0.500
Co  0.203  0.063  0.500
Co  0.297  0.563  0.500
Co  0.437  0.297  0.500
Co  0.500  0.000  0.500
Co  0.563  0.703  0.500
Co  0.703  0.437  0.500
Co  0.797  0.937  0.500
Co  0.937  0.203  0.500
Ge  0.000  0.000  0.000
Ge  0.500  0.500  0.000

Computed properties:
- magnetization (μB per formula unit) = 0.00
- total DFT energy (no corrections) (eV/atom) = -7.051
- crystal system = tetragonal

AlCoHg2Ge | GGA-PBE | optimized geometry

Lattice parameters (Å, degrees): 5.085 5.085 4.514 90.00 90.00 90.00
Fractional coordinates of all 5 atoms:
Al  0.000  0.000  0.000
Co  0.000  0.000  0.500
Hg  0.000  0.500  0.000
Hg  0.500  0.000  0.000
Ge  0.500  0.500  0.500

Computed properties:
- magnetization (μB per formula unit) = 1.22
- total DFT energy (no corrections) (eV/atom) = -2.430
- crystal system = tetragonal

Ho2AlCo4Ge3 | GGA-PBE | optimized geometry

Lattice parameters (Å, degrees): 3.963 3.963 9.987 90.00 90.00 90.00
Fractional coordinates of all 10 atoms:
Ho  0.000  0.500  0.249
Ho  0.500  0.000  0.751
Al  0.000  0.000  0.500
Co  0.000  0.000  0.000
Co  0.000  0.500  0.637
Co  0.500  0.000  0.363
Co  0.500  0.500  0.000
Ge  0.000  0.500  0.871
Ge  0.500  0.000  0.129
Ge  0.500  0.500  0.500

Computed properties:
- magnetization (μB per formula unit) = 0.00
- total DFT energy (no corrections) (eV/atom) = -6.085
- crystal system = tetragonal

AlInCoGe2 | GGA-PBE | optimized geometry

Lattice parameters (Å, degrees): 5.354 5.354 5.240 90.00 90.00 90.00
Fractional coordinates of all 5 atoms:
Al  0.000  0.000  0.000
In  0.000  0.000  0.500
Co  0.500  0.500  0.000
Ge  0.000  0.500  0.500
Ge  0.500  0.000  0.500

Computed properties:
- magnetization (μB per formula unit) = 1.76
- total DFT energy (no corrections) (eV/atom) = -3.095
- crystal system = tetragonal

KAlCoGe2 | GGA-PBE | optimized geometry

Lattice parameters (Å, degrees): 4.691 4.691 4.649 90.00 90.00 90.00
Fractional coordinates of all 5 atoms:
K  0.000  0.000  0.000
Al  0.500  0.500  0.000
Co  0.500  0.500  0.500
Ge  0.000  0.500  0.500
Ge  0.500  0.000  0.500

Computed properties:
- magnetization (μB per formula unit) = 0.00
- total DFT energy (no corrections) (eV/atom) = -4.138
- crystal system = tetragonal